w:
Computed, not measured: crystalline Ac2WO6 at its relaxed geometry at the GGA+U level of DFT. Values from VASP.

Computed properties:
**Fermi-level density of states**: 0.00 states/eV/atom

Cell and atoms, written as Quantum ESPRESSO input:
```
&SYSTEM
  ibrav = 0, nat = 18, ntyp = 3
/
ATOMIC_SPECIES
Ac 227.00 Ac.upf
W 183.84 W.upf
O 16.00 O.upf
CELL_PARAMETERS angstrom
5.3288 0.0000 0.0000
0.0000 5.3288 0.0000
0.0000 0.0000 10.7972
ATOMIC_POSITIONS angstrom
Ac 0.0000 0.0000 1.8007
Ac 0.0000 0.0000 8.9966
Ac 2.6644 2.6644 3.5980
Ac 2.6644 2.6644 7.1993
W 0.0000 0.0000 5.3986
W 2.6644 2.6644 0.0000
O 0.9376 0.9376 3.9309
O 0.9376 0.9376 6.8663
O 1.2822 1.2822 0.0000
O 1.3822 3.9466 5.3986
O 1.7269 3.6020 1.4677
O 1.7269 3.6020 9.3295
O 3.6020 1.7269 1.4677
O 3.6020 1.7269 9.3295
O 3.9466 1.3822 5.3986
O 4.0466 4.0466 0.0000
O 4.3913 4.3913 3.9309
O 4.3913 4.3913 6.8663
```

---

x:
Computed, not measured: crystalline Ac2WO6 at its relaxed geometry at the GGA+U level of DFT. Values from VASP.

Computed properties:
**Fermi-level density of states**: 0.00 states/eV/atom

Cell and atoms, written as Quantum ESPRESSO input:
```
&SYSTEM
  ibrav = 0, nat = 18, ntyp = 3
/
ATOMIC_SPECIES
Ac 227.00 Ac.upf
W 183.84 W.upf
O 16.00 O.upf
CELL_PARAMETERS angstrom
5.8166 0.0000 0.0000
0.0000 6.4319 0.0000
-5.0963 0.0000 8.2098
ATOMIC_POSITIONS angstrom
Ac -0.0117 0.5047 2.0192
Ac -2.5599 2.7113 6.1241
Ac 3.2802 3.7206 2.0857
Ac 0.7321 5.9272 6.1906
W 2.9083 0.0000 0.0000
W 0.3602 3.2159 4.1049
O -3.8495 0.9730 7.8330
O -1.3014 2.2429 3.7281
O -3.0261 4.7889 7.5217
O -0.4780 4.8589 3.4168
O -1.5427 0.4432 6.4285
O 1.0054 2.7728 2.3236
O -0.2851 3.6591 5.8862
O 2.2630 5.9887 1.7813
O 1.1983 1.5730 4.7930
O 3.7465 1.6430 0.6881
O 2.0218 4.1889 4.4817
O 4.5699 5.4589 0.3768
```

---

Taking the most stable structure as the zero point, the relative energies in kJ/mol of atoms are w 8.5; x 0.0.